1.
The following is a DFT calculation (GGA-PBEsol) of an optimized crystal structure of ReTe3S.

Summary:
The calculation puts the formation energy without anion corrections at 843 meV/atom. The density of states at the Fermi level comes out at 6.149 states/eV/f.u. As for the volume: 26.86 A^3/atom. The mass density is 7.43 g/cm³.

Cell: 5.121 5.121 5.121 Å, 90.00 90.00 90.00°
Fractional coordinates of all 5 atoms:
S: 0.500 0.500 0.500
Te: 0.000 0.500 0.000
Te: 0.000 0.000 0.500
Te: 0.500 0.000 0.000
Re: 0.000 0.000 0.000


2.
The following is a DFT calculation (GGA-PBEsol) of an optimized crystal structure of MnNi6Pt.

Summary:
As for the formation energy: -0.053 eV/atom. The density of states at the Fermi level comes out at 10.735 states/eV/f.u. As for the volume: 11.24 A^3/atom. The mass density is 11.12 g/cm³.

Cell: 6.161 6.161 10.060 Å, 90.00 90.00 109.60°
Fractional coordinates of all 32 atoms:
Ni: 0.621 0.874 0.122
Ni: 0.129 0.377 0.372
Ni: 0.379 0.126 0.878
Ni: 0.871 0.623 0.628
Ni: 0.874 0.621 0.122
Ni: 0.500 0.500 0.500
Ni: 0.623 0.871 0.372
Ni: 0.252 0.748 0.754
Ni: 0.126 0.379 0.122
Ni: 0.748 0.252 0.754
Ni: 0.129 0.377 0.628
Ni: 0.377 0.129 0.628
Ni: 0.379 0.126 0.122
Ni: 0.874 0.621 0.878
Ni: 0.621 0.874 0.878
Ni: 0.252 0.748 0.246
Ni: 0.623 0.871 0.628
Ni: 0.000 0.000 0.000
Ni: 0.500 0.500 0.000
Ni: 0.871 0.623 0.372
Ni: 0.377 0.129 0.372
Ni: 0.000 0.000 0.500
Ni: 0.126 0.379 0.878
Ni: 0.748 0.252 0.246
Pt: 0.252 0.748 0.500
Pt: 0.748 0.252 0.500
Pt: 0.000 0.000 0.751
Pt: 0.000 0.000 0.249
Mn: 0.749 0.251 0.000
Mn: 0.500 0.500 0.754
Mn: 0.500 0.500 0.246
Mn: 0.251 0.749 0.000


3.
The following is a DFT calculation (GGA-PBEsol) of an optimized crystal structure of BaZrOs2Au.

Summary:
As for the formation energy: 2.739 eV/atom. The density of states at the Fermi level comes out at 5.158 states/eV/f.u. As for the volume: 25.66 A^3/atom. The mass density is 10.43 g/cm³.

Cell: 4.935 4.935 5.268 Å, 90.00 90.00 90.00°
Fractional coordinates of all 5 atoms:
Zr: 0.500 0.500 0.500
Ba: 0.000 0.000 0.000
Os: 0.000 0.500 0.000
Os: 0.500 0.000 0.000
Au: 0.000 0.000 0.500


4.
The following is a DFT calculation (GGA-PBEsol) of an optimized crystal structure of NaLaPb2C.

Summary:
As for the formation energy: 0.999 eV/atom. The density of states at the Fermi level comes out at 5.031 states/eV/f.u. As for the volume: 34.11 A^3/atom. The mass density is 5.73 g/cm³.

Cell: 4.415 6.215 6.215 Å, 90.00 90.00 90.00°
Fractional coordinates of all 5 atoms:
Pb: 0.000 0.500 0.000
Pb: 0.000 0.000 0.500
C: 0.500 0.000 0.000
Na: 0.500 0.500 0.500
La: 0.000 0.000 0.000


5.
The following is a DFT calculation (GGA-PBEsol) of an optimized crystal structure of TiPSCl2.

Summary:
The calculation puts the formation energy without anion corrections at 496 meV/atom. The density of states at the Fermi level comes out at 5.645 states/eV/f.u. As for the volume: 19.71 A^3/atom. The mass density is 3.06 g/cm³.

Cell: 4.493 4.493 4.881 Å, 90.00 90.00 90.00°
Fractional coordinates of all 5 atoms:
Cl: 0.000 0.500 0.000
Cl: 0.500 0.000 0.000
P: 0.000 0.000 0.500
Ti: 0.500 0.500 0.500
S: 0.000 0.000 0.000


6.
The following is a DFT calculation (GGA-PBEsol) of an optimized crystal structure of Li2BiAu.

Summary:
As for the formation energy: -0.452 eV/atom. The density of states at the Fermi level comes out at 0.473 states/eV/f.u. As for the volume: 18.77 A^3/atom. The mass density is 9.29 g/cm³.

Cell: 4.735 4.735 4.735 Å, 60.00 60.00 60.00°
Fractional coordinates of all 4 atoms:
Li: 0.750 0.750 0.750
Li: 0.500 0.500 0.500
Au: 0.250 0.250 0.250
Bi: 0.000 0.000 0.000


7.
The following is a DFT calculation (GGA-PBEsol) of an optimized crystal structure of ScCuPb2.

Summary:
As for the formation energy: -0.059 eV/atom. The density of states at the Fermi level comes out at 2.444 states/eV/f.u. As for the volume: 21.87 A^3/atom. The mass density is 9.93 g/cm³.

Cell: 3.440 4.862 5.909 Å, 111.29 106.92 90.00°
Fractional coordinates of all 4 atoms:
Sc: 0.474 0.506 0.948
Pb: 0.021 0.046 0.041
Pb: 0.243 0.721 0.486
Cu: 0.762 0.226 0.525


8.
The following is a DFT calculation (GGA-PBEsol) of an optimized crystal structure of Ti2CrBiS.

Summary:
The calculation puts the formation energy without anion corrections at 1343 meV/atom. The density of states at the Fermi level comes out at 6.608 states/eV/f.u. As for the volume: 27.82 A^3/atom. The mass density is 4.64 g/cm³.

Cell: 5.070 5.238 5.238 Å, 90.00 90.00 90.00°
Fractional coordinates of all 5 atoms:
S: 0.500 0.500 0.500
Ti: 0.000 0.500 0.000
Ti: 0.000 0.000 0.500
Bi: 0.000 0.000 0.000
Cr: 0.500 0.000 0.000


9.
The following is a DFT calculation (GGA-PBEsol) of an optimized crystal structure of KHgOs2.

Summary:
As for the formation energy: 1.277 eV/atom. The density of states at the Fermi level comes out at 4.307 states/eV/f.u. As for the volume: 18.05 A^3/atom. The mass density is 14.26 g/cm³.

Cell: 2.701 4.937 5.415 Å, 90.00 90.00 90.00°
Fractional coordinates of all 4 atoms:
Os: 0.000 0.000 0.000
Os: 0.500 0.500 0.000
Hg: 0.500 0.000 0.500
K: 0.000 0.500 0.500


10.
The following is a DFT calculation (GGA-PBEsol) of an optimized crystal structure of La2Ti3O9.

Summary:
The calculation puts the formation energy without anion corrections at -3216 meV/atom. The density of states at the Fermi level comes out at 0.000 states/eV/f.u. As for the volume: 13.02 A^3/atom. The mass density is 5.15 g/cm³.

Cell: 7.795 7.795 7.795 Å, 109.47 109.47 109.47°
Fractional coordinates of all 28 atoms:
O: 0.317 0.711 0.966
O: 0.351 0.034 0.745
O: 0.034 0.745 0.351
O: 0.711 0.966 0.317
O: 0.649 0.394 0.683
O: 0.000 0.356 0.356
O: 0.394 0.683 0.649
O: 0.683 0.649 0.394
O: 0.000 0.644 0.644
O: 0.289 0.606 0.255
O: 0.644 0.000 0.644
O: 0.644 0.644 0.000
O: 0.356 0.356 0.000
O: 0.966 0.317 0.711
O: 0.255 0.289 0.606
O: 0.356 0.000 0.356
O: 0.606 0.255 0.289
O: 0.745 0.351 0.034
La: 0.000 0.610 0.000
La: 0.000 0.000 0.610
La: 0.610 0.000 0.000
La: 0.390 0.390 0.390
Ti: 0.343 0.843 0.500
Ti: 0.500 0.657 0.157
Ti: 0.843 0.500 0.343
Ti: 0.657 0.157 0.500
Ti: 0.157 0.500 0.657
Ti: 0.500 0.343 0.843


11.
The following is a DFT calculation (GGA-PBEsol) of an optimized crystal structure of K2SnH2Cl4O.

Summary:
Its energy is -161.44 eV for the cell shown. The density of states at the Fermi level comes out at 0.000 states/eV/f.u. As for the volume: 21.79 A^3/atom. The mass density is 2.72 g/cm³.

Cell: 8.244 8.978 11.776 Å, 90.00 90.00 90.00°
Fractional coordinates of all 40 atoms:
Cl: 0.798 0.051 0.942
Cl: 0.202 0.551 0.058
Cl: 0.399 0.750 0.305
Cl: 0.899 0.250 0.195
Cl: 0.798 0.449 0.942
Cl: 0.601 0.250 0.695
Cl: 0.702 0.449 0.442
Cl: 0.098 0.250 0.732
Cl: 0.298 0.949 0.558
Cl: 0.902 0.750 0.268
Cl: 0.298 0.551 0.558
Cl: 0.101 0.750 0.805
Cl: 0.702 0.051 0.442
Cl: 0.598 0.750 0.768
Cl: 0.202 0.949 0.058
Cl: 0.402 0.250 0.232
Sn: 0.017 0.250 0.990
Sn: 0.483 0.250 0.490
Sn: 0.983 0.750 0.010
Sn: 0.517 0.750 0.510
H: 0.572 0.750 0.953
H: 0.428 0.250 0.047
H: 0.571 0.250 0.958
H: 0.072 0.250 0.547
H: 0.929 0.250 0.458
H: 0.429 0.750 0.042
H: 0.071 0.750 0.542
H: 0.928 0.750 0.453
K: 0.634 0.981 0.182
K: 0.366 0.481 0.818
K: 0.134 0.019 0.318
K: 0.366 0.019 0.818
K: 0.866 0.981 0.682
K: 0.634 0.519 0.182
K: 0.134 0.481 0.318
K: 0.866 0.519 0.682
O: 0.452 0.250 0.964
O: 0.048 0.250 0.464
O: 0.952 0.750 0.536
O: 0.548 0.750 0.036


12.
The following is a DFT calculation (GGA-PBEsol) of an optimized crystal structure of Sb2MoSe.

Summary:
The calculation puts the formation energy without anion corrections at 136 meV/atom. The density of states at the Fermi level comes out at 2.352 states/eV/f.u. As for the volume: 20.06 A^3/atom. The mass density is 8.66 g/cm³.

Cell: 3.406 3.406 6.914 Å, 90.00 90.00 90.00°
Fractional coordinates of all 4 atoms:
Mo: 0.500 0.500 0.500
Sb: 0.000 0.000 0.277
Sb: 0.000 0.000 0.723
Se: 0.500 0.500 0.000